# 1
CeB12: relaxed, PBE.

abc: 5.328 5.328 5.328
angles: 60.00 60.00 60.00
Fractional coordinates of all 13 atoms:
1 Ce 0.000 0.000 0.000
2 B 0.162 0.500 0.500
3 B 0.162 0.500 0.838
4 B 0.162 0.838 0.500
5 B 0.500 0.162 0.500
6 B 0.500 0.162 0.838
7 B 0.500 0.500 0.162
8 B 0.500 0.500 0.838
9 B 0.500 0.838 0.162
10 B 0.500 0.838 0.500
11 B 0.838 0.162 0.500
12 B 0.838 0.500 0.162
13 B 0.838 0.500 0.500

- DFT formation energy: -0.25 eV/atom



# 2
CeB5: relaxed, PBE.

abc: 5.360 7.730 3.061
angles: 90.00 90.00 90.00
Fractional coordinates of all 12 atoms:
1 Ce 0.000 0.000 0.000
2 Ce 0.500 0.500 0.000
3 B 0.000 0.284 0.500
4 B 0.000 0.378 0.000
5 B 0.000 0.500 0.500
6 B 0.000 0.622 0.000
7 B 0.000 0.716 0.500
8 B 0.500 0.000 0.500
9 B 0.500 0.122 0.000
10 B 0.500 0.216 0.500
11 B 0.500 0.784 0.500
12 B 0.500 0.878 0.000

- DFT formation energy: 0.10 eV/atom



# 3
Ce4B2Cl5: relaxed, PBE.

abc: 9.792 9.792 9.792
angles: 157.10 132.85 53.04
Fractional coordinates of all 11 atoms:
1 Ce 0.182 0.182 0.000
2 Ce 0.211 0.500 0.711
3 Ce 0.789 0.500 0.289
4 Ce 0.818 0.818 0.000
5 B 0.046 0.046 0.000
6 B 0.954 0.954 0.000
7 Cl 0.104 0.333 0.771
8 Cl 0.438 0.667 0.771
9 Cl 0.500 0.000 0.500
10 Cl 0.562 0.333 0.229
11 Cl 0.896 0.667 0.229

- ΔE_f (raw): -1.43 eV per atom



# 4
Ce2BCl: relaxed, PBE.

abc: 3.938 3.938 19.722
angles: 90.00 90.00 120.00
Fractional coordinates of all 12 atoms:
1 Ce 0.000 0.000 0.237
2 Ce 0.000 0.000 0.763
3 Ce 0.333 0.667 0.430
4 Ce 0.333 0.667 0.904
5 Ce 0.667 0.333 0.096
6 Ce 0.667 0.333 0.570
7 B 0.000 0.000 0.500
8 B 0.333 0.667 0.167
9 B 0.667 0.333 0.833
10 Cl 0.000 0.000 0.000
11 Cl 0.333 0.667 0.667
12 Cl 0.667 0.333 0.333

- ΔE_f (raw): -0.79 eV per atom



# 5
CeB2Cl8: relaxed, PBE.

abc: 7.832 7.832 6.066
angles: 99.57 99.57 74.77
Fractional coordinates of all 11 atoms:
1 Ce 0.000 0.000 0.000
2 B 0.206 0.206 0.668
3 B 0.794 0.794 0.332
4 Cl 0.030 0.711 0.259
5 Cl 0.199 0.199 0.350
6 Cl 0.289 0.970 0.741
7 Cl 0.348 0.348 0.813
8 Cl 0.652 0.652 0.187
9 Cl 0.711 0.030 0.259
10 Cl 0.801 0.801 0.650
11 Cl 0.970 0.289 0.741

- ΔE_f (raw): -1.13 eV per atom



# 6
CeCo9B4: relaxed, PBE.

abc: 7.454 7.454 7.454
angles: 121.14 121.14 88.03
Fractional coordinates of all 28 atoms:
1 Ce 0.243 0.243 0.000
2 Ce 0.757 0.757 0.000
3 Co 0.000 0.500 0.500
4 Co 0.052 0.835 0.530
5 Co 0.097 0.805 0.902
6 Co 0.165 0.694 0.217
7 Co 0.195 0.097 0.293
8 Co 0.306 0.522 0.470
9 Co 0.307 0.408 0.714
10 Co 0.408 0.693 0.101
11 Co 0.478 0.948 0.783
12 Co 0.500 0.000 0.500
13 Co 0.522 0.052 0.217
14 Co 0.592 0.307 0.899
15 Co 0.693 0.592 0.286
16 Co 0.694 0.478 0.530
17 Co 0.805 0.903 0.707
18 Co 0.835 0.306 0.783
19 Co 0.903 0.195 0.098
20 Co 0.948 0.165 0.470
21 B 0.042 0.497 0.806
22 B 0.236 0.042 0.545
23 B 0.309 0.764 0.806
24 B 0.497 0.691 0.455
25 B 0.503 0.309 0.545
26 B 0.691 0.236 0.194
27 B 0.764 0.958 0.455
28 B 0.958 0.503 0.194

- DFT formation energy: -0.20 eV/atom



# 7
CeCo2B: relaxed, PBE.

abc: 5.833 3.670 10.110
angles: 90.00 90.00 90.00
Fractional coordinates of all 16 atoms:
1 Ce 0.149 0.250 0.128
2 Ce 0.351 0.750 0.628
3 Ce 0.649 0.250 0.372
4 Ce 0.851 0.750 0.872
5 Co 0.120 0.250 0.441
6 Co 0.158 0.250 0.804
7 Co 0.342 0.750 0.304
8 Co 0.380 0.750 0.941
9 Co 0.620 0.250 0.059
10 Co 0.658 0.250 0.696
11 Co 0.842 0.750 0.196
12 Co 0.880 0.750 0.559
13 B 0.019 0.750 0.374
14 B 0.481 0.250 0.874
15 B 0.519 0.750 0.126
16 B 0.981 0.250 0.626

- DFT formation energy: -0.34 eV/atom



# 8
CeCo6B: relaxed, PBE.

abc: 3.559 3.559 7.904
angles: 90.00 90.00 90.00
Fractional coordinates of all 8 atoms:
1 Ce 0.000 0.000 0.000
2 Co 0.000 0.500 0.352
3 Co 0.000 0.500 0.648
4 Co 0.500 0.000 0.352
5 Co 0.500 0.000 0.648
6 Co 0.500 0.500 0.151
7 Co 0.500 0.500 0.849
8 B 0.000 0.000 0.500

- DFT formation energy: 0.02 eV/atom